# 1
Compound: BaCaMoCl2
Source: Alexandria via LeMat-Bulk
Functional: GGA-PBE
Structure: optimized geometry Values from VASP.

Cell and atoms, written as Quantum ESPRESSO input:
```
&SYSTEM
  ibrav = 0, nat = 5, ntyp = 4
/
ATOMIC_SPECIES
Ba 137.33 Ba.upf
Ca 40.08 Ca.upf
Mo 95.94 Mo.upf
Cl 35.45 Cl.upf
CELL_PARAMETERS angstrom
5.7116 0.0000 0.0000
0.0000 5.7116 0.0000
0.0000 0.0000 11.7139
ATOMIC_POSITIONS angstrom
Ba 0.0000 0.0000 0.0000
Ca 0.0000 0.0000 5.8570
Mo 2.8558 2.8558 5.8570
Cl 0.0000 2.8558 0.0000
Cl 2.8558 0.0000 0.0000
```

Results
Space-group type = P4/mmm (123)
Formation energy without anion corrections = 0.02 eV per atom

=====

# 2
Compound: Ba2NaCaCl
Source: Alexandria via LeMat-Bulk
Functional: GGA-PBE
Structure: optimized geometry Values from VASP.

Cell and atoms, written as Quantum ESPRESSO input:
```
&SYSTEM
  ibrav = 0, nat = 5, ntyp = 4
/
ATOMIC_SPECIES
Ba 137.33 Ba.upf
Na 22.99 Na.upf
Ca 40.08 Ca.upf
Cl 35.45 Cl.upf
CELL_PARAMETERS angstrom
6.4047 0.0000 0.0000
0.0000 6.4047 0.0000
0.0000 0.0000 5.6298
ATOMIC_POSITIONS angstrom
Ba 0.0000 3.2023 0.0000
Ba 3.2023 0.0000 0.0000
Na 0.0000 0.0000 2.8149
Ca 3.2023 3.2023 2.8149
Cl 0.0000 0.0000 0.0000
```

Results
Offset from the most stable computed form = 0 meV/atom
Space-group type = P4/mmm (123)
Formation energy without anion corrections = -0.61 eV per atom

=====

# 3
Compound: Ba2NaCaCl
Source: Alexandria via LeMat-Bulk
Functional: GGA-PBE
Structure: optimized geometry Values from VASP.

Cell and atoms, written as Quantum ESPRESSO input:
```
&SYSTEM
  ibrav = 0, nat = 5, ntyp = 4
/
ATOMIC_SPECIES
Ba 137.33 Ba.upf
Na 22.99 Na.upf
Ca 40.08 Ca.upf
Cl 35.45 Cl.upf
CELL_PARAMETERS angstrom
6.5584 0.0000 0.0000
0.0000 6.5584 0.0000
0.0000 0.0000 5.3976
ATOMIC_POSITIONS angstrom
Ba 0.0000 3.2792 0.0000
Ba 3.2792 0.0000 0.0000
Na 0.0000 0.0000 2.6988
Ca 3.2792 3.2792 2.6988
Cl 3.2792 3.2792 0.0000
```

Results
Offset from the most stable computed form = 26 meV/atom
Space-group type = P4/mmm (123)
Formation energy without anion corrections = -0.58 eV per atom

=====

# 4
Compound: BaCaPCl2
Source: Alexandria via LeMat-Bulk
Functional: GGA-PBE
Structure: optimized geometry Values from VASP.

Cell and atoms, written as Quantum ESPRESSO input:
```
&SYSTEM
  ibrav = 0, nat = 5, ntyp = 4
/
ATOMIC_SPECIES
Ba 137.33 Ba.upf
Ca 40.08 Ca.upf
P 30.97 P.upf
Cl 35.45 Cl.upf
CELL_PARAMETERS angstrom
5.2138 0.0000 0.0000
0.0000 5.2138 0.0000
0.0000 0.0000 5.7051
ATOMIC_POSITIONS angstrom
Ba 0.0000 0.0000 0.0000
Ca 2.6069 2.6069 2.8526
P 2.6069 2.6069 0.0000
Cl 0.0000 2.6069 2.8526
Cl 2.6069 0.0000 2.8526
```

Results
Offset from the most stable computed form = 0 meV/atom
Space-group type = P4/mmm (123)
Formation energy without anion corrections = -1.51 eV per atom

=====

# 5
Compound: BaCaP2Cl
Source: Alexandria via LeMat-Bulk
Functional: GGA-PBE
Structure: optimized geometry Values from VASP.

Cell and atoms, written as Quantum ESPRESSO input:
```
&SYSTEM
  ibrav = 0, nat = 5, ntyp = 4
/
ATOMIC_SPECIES
Ba 137.33 Ba.upf
Ca 40.08 Ca.upf
P 30.97 P.upf
Cl 35.45 Cl.upf
CELL_PARAMETERS angstrom
5.2956 0.0000 0.0000
0.0000 5.2956 0.0000
0.0000 0.0000 5.3942
ATOMIC_POSITIONS angstrom
Ba 0.0000 0.0000 0.0000
Ca 2.6478 2.6478 2.6971
P 0.0000 2.6478 2.6971
P 2.6478 0.0000 2.6971
Cl 2.6478 2.6478 0.0000
```

Results
Offset from the most stable computed form = 0 meV/atom
Space-group type = P4/mmm (123)
Formation energy without anion corrections = -0.68 eV per atom

=====

# 6
Compound: BaCaPCl2
Source: Alexandria via LeMat-Bulk
Functional: GGA-PBE
Structure: optimized geometry Values from VASP.

Cell and atoms, written as Quantum ESPRESSO input:
```
&SYSTEM
  ibrav = 0, nat = 5, ntyp = 4
/
ATOMIC_SPECIES
Ba 137.33 Ba.upf
Ca 40.08 Ca.upf
P 30.97 P.upf
Cl 35.45 Cl.upf
CELL_PARAMETERS angstrom
5.7026 0.0000 0.0000
0.0000 5.7026 0.0000
0.0000 0.0000 5.8462
ATOMIC_POSITIONS angstrom
Ba 0.0000 0.0000 0.0000
Ca 2.8513 2.8513 2.9231
P 0.0000 0.0000 2.9231
Cl 0.0000 2.8513 0.0000
Cl 2.8513 0.0000 0.0000
```

Results
Offset from the most stable computed form = 577 meV/atom
Space-group type = P4/mmm (123)
Formation energy without anion corrections = -0.94 eV per atom

=====

# 7
Compound: BaCaP2Cl
Source: Alexandria via LeMat-Bulk
Functional: GGA-PBE
Structure: optimized geometry Values from VASP.

Cell and atoms, written as Quantum ESPRESSO input:
```
&SYSTEM
  ibrav = 0, nat = 5, ntyp = 4
/
ATOMIC_SPECIES
Ba 137.33 Ba.upf
Ca 40.08 Ca.upf
P 30.97 P.upf
Cl 35.45 Cl.upf
CELL_PARAMETERS angstrom
5.5406 0.0000 0.0000
0.0000 5.5406 0.0000
0.0000 0.0000 5.7316
ATOMIC_POSITIONS angstrom
Ba 0.0000 0.0000 0.0000
Ca 2.7703 2.7703 2.8658
P 0.0000 2.7703 0.0000
P 2.7703 0.0000 0.0000
Cl 0.0000 0.0000 2.8658
```

Results
Offset from the most stable computed form = 588 meV/atom
Space-group type = P4/mmm (123)
Formation energy without anion corrections = -0.09 eV per atom

=====

# 8
Compound: BaCaPCl
Source: Alexandria via LeMat-Bulk
Functional: GGA-PBE
Structure: optimized geometry Values from VASP.

Cell and atoms, written as Quantum ESPRESSO input:
```
&SYSTEM
  ibrav = 0, nat = 4, ntyp = 4
/
ATOMIC_SPECIES
Ba 137.33 Ba.upf
Ca 40.08 Ca.upf
P 30.97 P.upf
Cl 35.45 Cl.upf
CELL_PARAMETERS angstrom
2.2127 1.2775 7.3067
-2.2127 1.2775 7.3067
0.0000 -2.5550 7.3067
ATOMIC_POSITIONS angstrom
Ba 0.0000 0.0000 0.0000
Ca 0.0000 0.0000 10.4641
P 0.0000 0.0000 16.4189
Cl 0.0000 0.0000 5.1001
```

Results
Space-group type = R3m (160)
Formation energy without anion corrections = -1.63 eV per atom

=====

# 9
Compound: BaCaPbCl6
Source: Alexandria via LeMat-Bulk
Functional: GGA-PBE
Structure: optimized geometry Values from VASP.

Cell and atoms, written as Quantum ESPRESSO input:
```
&SYSTEM
  ibrav = 0, nat = 18, ntyp = 4
/
ATOMIC_SPECIES
Ba 137.33 Ba.upf
Ca 40.08 Ca.upf
Pb 207.20 Pb.upf
Cl 35.45 Cl.upf
CELL_PARAMETERS angstrom
7.3136 0.0000 0.0000
-3.6568 6.3338 0.0000
0.0000 0.0000 13.2844
ATOMIC_POSITIONS angstrom
Ba 0.0000 0.0000 0.0000
Ba 0.0000 0.0000 6.6422
Ca 0.0000 4.2225 3.3211
Ca 3.6568 2.1113 9.9633
Pb 0.0000 4.2225 9.9633
Pb 3.6568 2.1113 3.3211
Cl -1.1985 2.2829 1.7648
Cl -2.2790 4.1544 4.8774
Cl 1.1985 2.2829 4.8774
Cl -1.0805 6.2302 1.7648
Cl 2.5763 0.1036 8.4070
Cl 1.3778 2.1794 11.5196
Cl 2.2790 4.1544 1.7648
Cl 1.0805 6.2302 4.8774
Cl 4.7373 0.1036 11.5196
Cl 2.4584 4.0509 8.4070
Cl 5.9358 2.1794 8.4070
Cl 4.8553 4.0509 11.5196
```

Results
Space-group type = P-31c (163)
Formation energy without anion corrections = -2.02 eV per atom

=====

# 10
Compound: RbBa2CaCl
Source: Alexandria via LeMat-Bulk
Functional: GGA-PBE
Structure: optimized geometry Values from VASP.

Cell and atoms, written as Quantum ESPRESSO input:
```
&SYSTEM
  ibrav = 0, nat = 5, ntyp = 4
/
ATOMIC_SPECIES
Rb 85.47 Rb.upf
Ba 137.33 Ba.upf
Ca 40.08 Ca.upf
Cl 35.45 Cl.upf
CELL_PARAMETERS angstrom
6.4026 0.0000 0.0000
0.0000 6.4026 0.0000
0.0000 0.0000 6.4718
ATOMIC_POSITIONS angstrom
Rb 0.0000 0.0000 0.0000
Ba 0.0000 3.2013 3.2359
Ba 3.2013 0.0000 3.2359
Ca 3.2013 3.2013 0.0000
Cl 0.0000 0.0000 3.2359
```

Results
Space-group type = P4/mmm (123)
Formation energy without anion corrections = -0.59 eV per atom

=====

# 11
Compound: Rb2BaCaCl
Source: Alexandria via LeMat-Bulk
Functional: GGA-PBE
Structure: optimized geometry Values from VASP.

Cell and atoms, written as Quantum ESPRESSO input:
```
&SYSTEM
  ibrav = 0, nat = 5, ntyp = 4
/
ATOMIC_SPECIES
Rb 85.47 Rb.upf
Ba 137.33 Ba.upf
Ca 40.08 Ca.upf
Cl 35.45 Cl.upf
CELL_PARAMETERS angstrom
6.5879 0.0000 0.0000
0.0000 6.5879 0.0000
0.0000 0.0000 6.4205
ATOMIC_POSITIONS angstrom
Rb 0.0000 3.2940 0.0000
Rb 3.2940 0.0000 0.0000
Ba 0.0000 0.0000 3.2102
Ca 3.2940 3.2940 3.2102
Cl 0.0000 0.0000 0.0000
```

Results
Space-group type = P4/mmm (123)
Formation energy without anion corrections = -0.57 eV per atom

=====

# 12
Compound: Rb2BaCaCl6
Source: Alexandria via LeMat-Bulk
Functional: GGA-PBE
Structure: optimized geometry Values from VASP.

Cell and atoms, written as Quantum ESPRESSO input:
```
&SYSTEM
  ibrav = 0, nat = 20, ntyp = 4
/
ATOMIC_SPECIES
Rb 85.47 Rb.upf
Ba 137.33 Ba.upf
Ca 40.08 Ca.upf
Cl 35.45 Cl.upf
CELL_PARAMETERS angstrom
7.7704 0.0000 0.0000
0.0000 8.0854 0.0000
-7.6781 0.0000 11.1010
ATOMIC_POSITIONS angstrom
Rb -0.1494 0.5055 2.7739
Rb -3.9884 3.5372 8.3244
Rb 4.0807 4.5482 2.7766
Rb 0.2416 7.5799 8.3271
Ba 3.8852 0.0000 0.0000
Ba 0.0461 4.0427 5.5505
Ca -3.8391 0.0000 5.5505
Ca 0.0000 4.0427 0.0000
Cl -6.2282 1.7677 10.4383
Cl -2.3891 2.2750 4.8879
Cl -5.4817 5.5989 10.5019
Cl -1.6426 6.5292 4.9514
Cl -2.9807 0.3136 8.1581
Cl 0.8584 3.7290 2.6076
Cl -0.7661 4.3563 8.4934
Cl 3.0730 7.7717 2.9429
Cl 1.7348 1.5562 6.1496
Cl 5.5739 2.4865 0.5991
Cl 2.4814 5.8103 6.2131
Cl 6.3204 6.3177 0.6626
```

Results
Offset from the most stable computed form = 0 meV/atom
Space-group type = P2_1/c (14)
Formation energy without anion corrections = -2.26 eV per atom

=====

Which value of formation energy without anion corrections does entry 4 give? -1.51 eV per atom